1.
DFT (GGA-PBE) results for crystalline ScTaCl2 at its relaxed geometry.

Values from the calculation:
**Offset from the most stable computed form**: 3.04 eV/f.u.
**Calculated total energy**: -0.2124 Ha/atom
**Energy relative to the elements, uncorrected**: -0.310 eV per atom

The structure in CIF format:
```
data_ScTaCl2
_chemical_formula_sum 'Sc2 Ta2 Cl4'
_symmetry_space_group_name_H-M 'C m m m'
_symmetry_Int_Tables_number 65
_symmetry_space_group_name_Hall '-C 2 2'
_cell_length_a 2.992
_cell_length_b 5.819
_cell_length_c 8.765
_cell_angle_alpha 90.00
_cell_angle_beta 90.00
_cell_angle_gamma 90.00
loop_
_atom_site_label
_atom_site_fract_x
_atom_site_fract_y
_atom_site_fract_z
_atom_site_occupancy
Sc1 0.000 0.000 0.000 1
Ta1 0.000 0.000 0.500 1
Cl1 0.000 0.500 0.258 1
```

---

2.
DFT (GGA-PBE) results for crystalline ScTaCl2 at its relaxed geometry.

Values from the calculation:
**Offset from the most stable computed form**: 2.67 eV/f.u.
**Calculated total energy**: -0.2158 Ha/atom
**Energy relative to the elements, uncorrected**: -0.403 eV per atom

The structure in CIF format:
```
data_ScTaCl2
_chemical_formula_sum 'Sc1 Ta1 Cl2'
_symmetry_space_group_name_H-M 'P 1 m 1'
_symmetry_Int_Tables_number 6
_symmetry_space_group_name_Hall 'P -2y'
_cell_length_a 3.083
_cell_length_b 5.816
_cell_length_c 4.645
_cell_angle_alpha 90.00
_cell_angle_beta 105.02
_cell_angle_gamma 90.00
loop_
_atom_site_label
_atom_site_fract_x
_atom_site_fract_y
_atom_site_fract_z
_atom_site_occupancy
Sc1 0.000 0.000 0.000 1
Ta1 0.639 0.500 0.886 1
Cl1 0.639 0.000 0.447 1
Cl2 0.975 0.500 0.441 1
```

---

3.
DFT (GGA-PBE) results for crystalline ScTaCl2 at its relaxed geometry.

Values from the calculation:
**Offset from the most stable computed form**: 2.96 eV/f.u.
**Calculated total energy**: -0.2132 Ha/atom
**Energy relative to the elements, uncorrected**: -0.332 eV per atom

The structure in CIF format:
```
data_ScTaCl2
_chemical_formula_sum 'Sc2 Ta2 Cl4'
_symmetry_space_group_name_H-M 'I m m m'
_symmetry_Int_Tables_number 71
_symmetry_space_group_name_Hall '-I 2 2'
_cell_length_a 3.006
_cell_length_b 5.846
_cell_length_c 8.824
_cell_angle_alpha 90.00
_cell_angle_beta 90.00
_cell_angle_gamma 90.00
loop_
_atom_site_label
_atom_site_fract_x
_atom_site_fract_y
_atom_site_fract_z
_atom_site_occupancy
Sc1 0.000 0.000 0.000 1
Ta1 0.000 0.000 0.500 1
Cl1 0.000 0.500 0.234 1
```

---

4.
DFT (GGA-PBE) results for crystalline ScTaCl4 at its relaxed geometry.

Values from the calculation:
**Calculated total energy**: -0.1323 Ha/atom
**Energy relative to the elements, uncorrected**: 0.661 eV per atom

The structure in CIF format:
```
data_ScTaCl4
_chemical_formula_sum 'Sc4 Ta4 Cl16'
_symmetry_space_group_name_H-M 'F -4 3 m'
_symmetry_Int_Tables_number 216
_symmetry_space_group_name_Hall 'F -4 2 3'
_cell_length_a 8.107
_cell_length_b 8.107
_cell_length_c 8.107
_cell_angle_alpha 90.00
_cell_angle_beta 90.00
_cell_angle_gamma 90.00
loop_
_atom_site_label
_atom_site_fract_x
_atom_site_fract_y
_atom_site_fract_z
_atom_site_occupancy
Sc1 0.000 0.000 0.000 1
Ta1 0.250 0.250 0.750 1
Cl1 0.125 0.125 0.375 1
```

---

5.
DFT (GGA-PBE) results for crystalline ScTaCl2 at its relaxed geometry.

Values from the calculation:
**Offset from the most stable computed form**: 1.09 eV/f.u.
**Calculated total energy**: -0.2303 Ha/atom
**Energy relative to the elements, uncorrected**: -0.798 eV per atom

The structure in CIF format:
```
data_ScTaCl2
_chemical_formula_sum 'Sc2 Ta2 Cl4'
_symmetry_space_group_name_H-M 'C m m 2'
_symmetry_Int_Tables_number 35
_symmetry_space_group_name_Hall 'C 2 -2'
_cell_length_a 3.686
_cell_length_b 5.017
_cell_length_c 9.561
_cell_angle_alpha 90.00
_cell_angle_beta 90.00
_cell_angle_gamma 90.00
loop_
_atom_site_label
_atom_site_fract_x
_atom_site_fract_y
_atom_site_fract_z
_atom_site_occupancy
Sc1 0.000 0.000 0.000 1
Ta1 0.000 0.500 0.240 1
Cl1 0.000 0.000 0.427 1
Cl2 0.000 0.500 0.817 1
```

---

6.
DFT (GGA-PBE) results for crystalline ScTaCl2 at its relaxed geometry.

Values from the calculation:
**Offset from the most stable computed form**: 3.36 eV/f.u.
**Calculated total energy**: -0.2095 Ha/atom
**Energy relative to the elements, uncorrected**: -0.230 eV per atom

The structure in CIF format:
```
data_ScTaCl2
_chemical_formula_sum 'Sc2 Ta2 Cl4'
_symmetry_space_group_name_H-M 'I m m 2'
_symmetry_Int_Tables_number 44
_symmetry_space_group_name_Hall 'I 2 -2'
_cell_length_a 3.083
_cell_length_b 4.662
_cell_length_c 10.325
_cell_angle_alpha 90.00
_cell_angle_beta 90.00
_cell_angle_gamma 90.00
loop_
_atom_site_label
_atom_site_fract_x
_atom_site_fract_y
_atom_site_fract_z
_atom_site_occupancy
Sc1 0.000 0.000 0.000 1
Ta1 0.000 0.500 0.772 1
Cl1 0.000 0.000 0.482 1
Cl2 0.000 0.500 0.285 1
```

---

7.
DFT (GGA-PBE) results for crystalline ScTaCl2 at its relaxed geometry.

Values from the calculation:
**Offset from the most stable computed form**: 4.78 eV/f.u.
**Calculated total energy**: -0.1964 Ha/atom
**Energy relative to the elements, uncorrected**: 0.124 eV per atom

The structure in CIF format:
```
data_ScTaCl2
_chemical_formula_sum 'Sc4 Ta4 Cl8'
_symmetry_space_group_name_H-M 'F m -3 m'
_symmetry_Int_Tables_number 225
_symmetry_space_group_name_Hall '-F 4 2 3'
_cell_length_a 6.491
_cell_length_b 6.491
_cell_length_c 6.491
_cell_angle_alpha 90.00
_cell_angle_beta 90.00
_cell_angle_gamma 90.00
loop_
_atom_site_label
_atom_site_fract_x
_atom_site_fract_y
_atom_site_fract_z
_atom_site_occupancy
Sc1 0.000 0.000 0.000 1
Ta1 0.000 0.000 0.500 1
Cl1 0.250 0.250 0.250 1
```

---

8.
DFT (GGA-PBE) results for crystalline ScTaCl2 at its relaxed geometry.

Values from the calculation:
**Offset from the most stable computed form**: 3.29 eV/f.u.
**Calculated total energy**: -0.2101 Ha/atom
**Energy relative to the elements, uncorrected**: -0.249 eV per atom

The structure in CIF format:
```
data_ScTaCl2
_chemical_formula_sum 'Sc1 Ta1 Cl2'
_symmetry_space_group_name_H-M 'P 4/m m m'
_symmetry_Int_Tables_number 123
_symmetry_space_group_name_Hall '-P 4 2'
_cell_length_a 2.990
_cell_length_b 2.990
_cell_length_c 11.716
_cell_angle_alpha 90.00
_cell_angle_beta 90.00
_cell_angle_gamma 90.00
loop_
_atom_site_label
_atom_site_fract_x
_atom_site_fract_y
_atom_site_fract_z
_atom_site_occupancy
Sc1 0.000 0.000 0.000 1
Ta1 0.000 0.000 0.500 1
Cl1 0.500 0.500 0.134 1
```

---

Question: Among the records above, which one has the highest calculated total energy?
Answer: ScTaCl4

---

Repeat the first record exactly.
DFT (GGA-PBE) results for crystalline ScTaCl2 at its relaxed geometry.

Values from the calculation:
**Offset from the most stable computed form**: 3.04 eV/f.u.
**Calculated total energy**: -0.2124 Ha/atom
**Energy relative to the elements, uncorrected**: -0.310 eV per atom

The structure in CIF format:
```
data_ScTaCl2
_chemical_formula_sum 'Sc2 Ta2 Cl4'
_symmetry_space_group_name_H-M 'C m m m'
_symmetry_Int_Tables_number 65
_symmetry_space_group_name_Hall '-C 2 2'
_cell_length_a 2.992
_cell_length_b 5.819
_cell_length_c 8.765
_cell_angle_alpha 90.00
_cell_angle_beta 90.00
_cell_angle_gamma 90.00
loop_
_atom_site_label
_atom_site_fract_x
_atom_site_fract_y
_atom_site_fract_z
_atom_site_occupancy
Sc1 0.000 0.000 0.000 1
Ta1 0.000 0.000 0.500 1
Cl1 0.000 0.500 0.258 1
```

---

Question: Which of these has the highest energy relative to the elements, uncorrected?
Answer: ScTaCl4